Ca2ZnPb (PBE, optimized geometry); ΔE_f = -201 meV/atom; N(E_F) = 2.65 states/eV/cell; SG = Pmm2; size of the total moment = 0.00 μB/f.u.; theoretical density = 4.75 g/cm³
1.0
3.780 0.000 0.000
0.000 5.092 0.000
0.000 0.000 6.413
Pb Zn Ca
1 1 2
Cartesian
0.000 0.000 2.812
1.890 2.546 5.219
1.890 2.546 2.040
0.000 0.000 5.962

Tb3Pm2Sm8 (PBE, optimized geometry); ΔE_f = 218 meV/atom; N(E_F) = 21.23 states/eV/cell; SG = C2/m; size of the total moment = 0.00 μB/f.u.; theoretical density = 7.25 g/cm³
1.0
-4.603 3.219 0.898
-3.781 -6.151 2.662
5.212 5.159 8.199
Sm Tb Pm
8 3 2
Cartesian
-2.709 0.250 3.232
-3.730 3.765 3.400
-0.464 1.977 8.527
0.557 -1.538 8.360
-2.399 4.598 7.215
-4.280 -2.305 4.338
-0.773 -2.371 4.545
1.107 4.531 7.422
-2.699 -4.390 1.900
-1.083 -1.761 0.762
-2.301 1.609 0.449
-2.474 -0.384 6.719
-0.698 2.611 5.040

HgOsS2N (PBE, optimized geometry); N(E_F) = 4.56 states/eV/cell; SG = P4/mmm; size of the total moment = 0.00 μB/f.u.; theoretical density = 8.74 g/cm³; uncorrected formation energy = 0.456 eV per atom
1.0
-2.096 -3.718 -2.425
-0.527 -2.454 4.218
-3.321 1.553 0.489
N S Hg Os
1 2 1 1
Cartesian
-1.661 0.777 0.244
-0.264 -1.227 2.109
-1.048 -1.859 -1.213
-2.972 -2.309 1.141
0.000 0.000 0.000

Ba2SbPdO6 (PBE, optimized geometry); N(E_F) = 6.58 states/eV/cell; SG = Fm-3m; size of the total moment = 0.00 μB/f.u.; theoretical density = 6.95 g/cm³; uncorrected formation energy = -1.745 eV per atom
1.0
5.872 0.000 0.000
0.000 5.872 0.000
0.000 0.000 8.305
O Ba Pd Sb
12 4 2 2
Cartesian
2.936 1.467 2.119
2.936 1.467 6.186
4.373 0.031 4.152
1.437 2.968 0.000
1.499 0.031 4.152
4.435 5.841 0.000
4.435 2.968 0.000
1.499 2.904 4.152
4.373 2.904 4.152
0.000 4.404 6.272
0.000 4.404 2.033
1.437 5.841 0.000
2.936 4.404 6.229
0.000 1.468 6.229
0.000 1.468 2.076
2.936 4.404 2.076
0.000 4.404 4.152
2.936 1.468 0.000
0.000 4.404 0.000
2.936 1.468 4.152

W2AuBr (PBE, optimized geometry); N(E_F) = 4.02 states/eV/cell; SG = P4/mmm; size of the total moment = 0.00 μB/f.u.; theoretical density = 15.83 g/cm³; uncorrected formation energy = 1.159 eV per atom
1.0
4.777 0.000 0.000
0.000 4.777 0.000
0.000 0.000 2.963
W Br Au
2 1 1
Cartesian
2.388 2.388 0.000
0.000 0.000 0.000
0.000 2.388 1.481
2.388 0.000 1.481

VPNCl2 (PBE, optimized geometry); N(E_F) = 3.37 states/eV/cell; SG = P4/mmm; size of the total moment = 3.02 μB/f.u.; theoretical density = 2.62 g/cm³; uncorrected formation energy = 0.767 eV per atom
1.0
4.692 0.000 0.000
0.000 4.692 0.000
0.000 0.000 4.810
Cl P N V
2 1 1 1
Cartesian
2.346 0.000 0.000
0.000 2.346 0.000
0.000 0.000 2.405
2.346 2.346 2.405
0.000 0.000 0.000